*A*
The following is a GGA-PBE calculation of an optimized crystal structure of BaMnBr2, from Alexandria.

Crystal system: trigonal
Volume, Å³/cell: 615.7

Cell: 4.8174 4.8174 30.6339 Å, 90.00 90.00 120.00°
Space group R-3m (No. 166, hexagonal axes)
Inequivalent atoms, fractional coordinates:
Ba: 0.0000 0.0000 0.0000 [3 per cell]
Mn: 0.0000 0.0000 0.5000 [3 per cell]
Br: 0.0000 0.0000 0.2793 [6 per cell]

***

*B*
The following is a GGA-PBE calculation of an optimized crystal structure of BaMnBr2, from Alexandria.

Crystal system: trigonal
Volume, Å³/cell: 419.5

Cell: 4.1237 4.1237 28.4825 Å, 90.00 90.00 120.00°
Space group R-3m (No. 166, hexagonal axes)
Inequivalent atoms, fractional coordinates:
Ba: 0.0000 0.0000 0.0000 [3 per cell]
Mn: 0.0000 0.0000 0.5000 [3 per cell]
Br: 0.0000 0.0000 0.1165 [6 per cell]

***

*C*
The following is a GGA-PBE calculation of an optimized crystal structure of BaMnBr2, from Alexandria.

Crystal system: monoclinic
Volume, Å³/cell: 130.4

Cell: 4.205 4.235 7.356 Å, 90.00 95.60 90.00°
Space group P2/m (No. 10)
Inequivalent atoms, fractional coordinates:
Ba: 0.000 0.000 0.000 [1 per cell]
Mn: 0.000 0.000 0.500 [1 per cell]
Br: 0.459 0.500 0.762 [2 per cell]

***

Most stable structure among those shown: *A*. Next: +0.017 eV/atom.